1.
{"formula": "Tl2ZnRu", "functional": "PBE", "state": "relaxed", "cell": [[-0.901, 5.347, 0.149], [-5.213, 1.502, 0.016], [3.041, -3.508, 2.806]], "species": ["Ru", "Tl", "Tl", "Zn"], "frac_coords": [[0.750, 0.250, 0.500], [0.000, 0.000, 0.000], [0.250, 0.750, 0.500], [0.500, 0.500, 0.000]], "total_energy_ev_per_fu": -13.5}



2.
{"formula": "ZrTl2Ru", "functional": "PBE", "state": "relaxed", "cell": [[-5.107, 2.659, 0.838], [-4.477, -1.927, -3.177], [4.033, -1.241, 4.006]], "species": ["Ru", "Tl", "Tl", "Zr"], "frac_coords": [[0.250, 0.750, 0.500], [0.019, 0.019, 0.000], [0.481, 0.481, 0.000], [0.750, 0.250, 0.500]], "total_energy_ev_per_fu": -21.6}



3.
{"formula": "ZrTlRu3", "functional": "PBE", "state": "relaxed", "cell": [[-2.231, 4.177, 0.974], [-2.242, -2.072, 3.748], [3.656, 1.278, 2.893]], "species": ["Ru", "Ru", "Ru", "Tl", "Zr"], "frac_coords": [[0.000, 0.500, 0.000], [0.000, 0.000, 0.500], [0.500, 0.000, 0.000], [0.000, 0.000, 0.000], [0.500, 0.500, 0.500]], "total_energy_ev_per_fu": -29.5}



4.
{"formula": "ZrTlRu4", "functional": "PBE", "state": "relaxed", "cell": [[0.000, 3.696, 3.696], [3.696, 0.000, 3.696], [3.696, 3.696, 0.000]], "species": ["Zr", "Tl", "Ru", "Ru", "Ru", "Ru"], "frac_coords": [[0.000, 0.000, 0.000], [0.750, 0.750, 0.750], [0.874, 0.375, 0.375], [0.375, 0.375, 0.874], [0.375, 0.874, 0.375], [0.375, 0.375, 0.375]], "total_energy_ev_per_fu": -47.5}